1.
## HoVB4 (GGA-PBE)

Data for a relaxed structure of HoVB4.

Output
The calculation puts the formation energy from the elements at 0.27 eV/atom. As for the space group: F-43m.

Lattice parameters (Å, degrees): 4.425 4.425 4.425 60.00 60.00 60.00
Fractional coordinates of all 6 atoms:
1 B 0.649 0.649 0.054
2 B 0.649 0.054 0.649
3 B 0.649 0.649 0.649
4 B 0.054 0.649 0.649
5 Ho 0.250 0.250 0.250
6 V 0.000 0.000 0.000

***

2.
## LiFe2Hg (GGA-PBE)

Data for a relaxed structure of LiFe2Hg.

Output
The calculation puts the formation energy from the elements at 0.28 eV/atom. As for the space group: Imm2.

Lattice parameters (Å, degrees): 5.023 5.023 5.023 143.66 127.18 65.81
Fractional coordinates of all 4 atoms:
1 Fe 0.982 0.982 0.000
2 Fe 0.773 0.273 0.500
3 Hg 0.503 0.503 0.000
4 Li 0.241 0.741 0.500

***

3.
## TbDy2NpP4 (GGA-PBE)

Data for a relaxed structure of TbDy2NpP4.

Output
The calculation puts the formation energy from the elements at -1.42 eV/atom. As for the space group: P2/m.

Lattice parameters (Å, degrees): 3.991 6.921 6.918 109.33 90.00 90.00
Fractional coordinates of all 8 atoms:
1 Tb 0.000 0.000 0.000
2 Dy 0.500 0.000 0.500
3 Dy 0.000 0.500 0.500
4 Np 0.500 0.500 0.000
5 P 0.500 0.254 0.248
6 P 0.500 0.746 0.752
7 P 0.000 0.255 0.754
8 P 0.000 0.745 0.246

***

4.
## KCo2Sb8 (GGA-PBE)

Data for a relaxed structure of KCo2Sb8.

Output
As for the energy relative to the elements, uncorrected: 47 meV per atom. As for the space group: C2/m.

Lattice parameters (Å, degrees): 4.358 8.418 9.865 116.01 102.80 90.01
Fractional coordinates of all 11 atoms:
1 K 0.000 0.000 0.000
2 Co 0.348 0.347 0.696
3 Co 0.652 0.653 0.304
4 Sb 0.087 0.589 0.173
5 Sb 0.913 0.411 0.826
6 Sb 0.624 0.911 0.248
7 Sb 0.207 0.210 0.414
8 Sb 0.372 0.660 0.745
9 Sb 0.376 0.089 0.752
10 Sb 0.792 0.790 0.586
11 Sb 0.628 0.340 0.255

***

5.
## SmDy12Ho2 (GGA-PBE)

Data for a relaxed structure of SmDy12Ho2.

Output
The calculation puts the formation energy from the elements at 0.04 eV/atom. As for the space group: P-1.

Lattice parameters (Å, degrees): 6.350 6.656 26.121 85.93 104.18 116.97
Fractional coordinates of all 30 atoms:
1 Sm 0.511 0.975 0.983
2 Sm 0.989 0.525 0.017
3 Dy 0.644 0.652 0.782
4 Dy 0.120 0.205 0.813
5 Dy 0.889 0.868 0.915
6 Dy 0.272 0.768 0.847
7 Dy 0.080 0.983 0.347
8 Dy 0.228 0.732 0.153
9 Dy 0.630 0.263 0.595
10 Dy 0.589 0.475 0.321
11 Dy 0.367 0.419 0.948
12 Dy 0.611 0.632 0.085
13 Dy 0.045 0.252 0.536
14 Dy 0.870 0.237 0.405
15 Dy 0.911 0.025 0.679
16 Dy 0.455 0.248 0.464
17 Dy 0.133 0.081 0.052
18 Dy 0.962 0.738 0.466
19 Dy 0.538 0.762 0.534
20 Dy 0.856 0.848 0.218
21 Dy 0.108 0.802 0.602
22 Dy 0.420 0.517 0.653
23 Dy 0.753 0.316 0.880
24 Dy 0.380 0.295 0.187
25 Dy 0.392 0.698 0.398
26 Dy 0.747 0.184 0.120
27 Ho 0.489 0.947 0.283
28 Ho 0.005 0.407 0.265
29 Ho 0.011 0.553 0.717
30 Ho 0.495 0.093 0.735

***

6.
## FeCoAs2 (GGA-PBE)

Data for a relaxed structure of FeCoAs2.

Output
The calculation puts the formation energy from the elements at 0.20 eV/atom. As for the space group: I-42d. The energy above the most stable polymorph in this dataset is 1.09 eV per formula unit.

Lattice parameters (Å, degrees): 5.256 5.256 6.397 65.74 65.74 90.00
Fractional coordinates of all 8 atoms:
1 As 0.624 0.125 0.250
2 As 0.126 0.625 0.250
3 As 0.375 0.376 0.750
4 As 0.875 0.874 0.750
5 Co 0.000 0.000 0.000
6 Co 0.750 0.250 0.500
7 Fe 0.500 0.500 0.000
8 Fe 0.250 0.750 0.500

***

7.
## CsTl2GaBr4 (GGA-PBE)

Data for a relaxed structure of CsTl2GaBr4.

Output
As for the energy relative to the elements, uncorrected: -982 meV per atom. As for the space group: P2/m.

Lattice parameters (Å, degrees): 4.828 8.335 8.357 70.54 90.00 90.00
Fractional coordinates of all 8 atoms:
1 Cs 0.500 0.500 0.000
2 Tl 0.000 0.000 0.000
3 Tl 0.500 0.000 0.500
4 Ga 0.000 0.500 0.500
5 Br 0.000 0.755 0.727
6 Br 0.000 0.245 0.273
7 Br 0.500 0.747 0.266
8 Br 0.500 0.253 0.734

***

8.
## Pm2AlNi3Ge4 (GGA-PBE)

Data for a relaxed structure of Pm2AlNi3Ge4.

Output
The calculation puts the formation energy from the elements at -0.68 eV/atom. As for the space group: P-4m2.

Lattice parameters (Å, degrees): 4.106 4.106 10.233 90.00 90.00 90.00
Fractional coordinates of all 10 atoms:
1 Pm 0.500 0.000 0.240
2 Pm 0.000 0.500 0.760
3 Al 0.500 0.500 0.500
4 Ni 0.000 0.000 0.500
5 Ni 0.500 0.000 0.878
6 Ni 0.000 0.500 0.122
7 Ge 0.500 0.500 0.000
8 Ge 0.000 0.000 0.000
9 Ge 0.500 0.000 0.647
10 Ge 0.000 0.500 0.353

***

9.
## Cs3CaPb2Br9 (GGA-PBE)

Data for a relaxed structure of Cs3CaPb2Br9.

Output
As for the energy relative to the elements, uncorrected: -1512 meV per atom. As for the space group: P-3m1.

Lattice parameters (Å, degrees): 8.375 8.375 10.268 90.00 90.00 120.00
Fractional coordinates of all 15 atoms:
1 Cs 0.333 0.667 0.663
2 Cs 0.000 0.000 0.000
3 Cs 0.667 0.333 0.337
4 Ca 0.000 0.000 0.500
5 Pb 0.333 0.667 0.171
6 Pb 0.667 0.333 0.829
7 Br 0.837 0.163 0.661
8 Br 0.837 0.674 0.661
9 Br 0.326 0.163 0.661
10 Br 0.674 0.837 0.339
11 Br 0.163 0.326 0.339
12 Br 0.163 0.837 0.339
13 Br 0.500 0.000 0.000
14 Br 0.000 0.500 0.000
15 Br 0.500 0.500 0.000

***

10.
## Sc8FeIr2 (GGA-PBE)

Data for a relaxed structure of Sc8FeIr2.

Output
The calculation puts the formation energy from the elements at -0.36 eV/atom. As for the space group: Cm.

Lattice parameters (Å, degrees): 5.240 7.076 7.076 111.56 100.23 100.23
Fractional coordinates of all 11 atoms:
1 Sc 0.586 0.330 0.078
2 Sc 0.586 0.078 0.330
3 Sc 0.178 0.360 0.360
4 Sc 0.994 0.210 0.792
5 Sc 0.994 0.792 0.210
6 Sc 0.811 0.645 0.645
7 Sc 0.390 0.929 0.677
8 Sc 0.390 0.677 0.929
9 Fe 0.075 0.000 0.000
10 Ir 0.498 0.694 0.319
11 Ir 0.498 0.319 0.694

***

11.
## TlTcAg2 (GGA-PBE)

Data for a relaxed structure of TlTcAg2.

Output
The calculation puts the formation energy from the elements at 0.53 eV/atom. As for the space group: P4mm. The energy above the most stable polymorph in this dataset is 0.02 eV per formula unit.

Lattice parameters (Å, degrees): 2.899 2.899 8.883 90.00 90.00 90.00
Fractional coordinates of all 4 atoms:
1 Ag 0.000 0.000 0.019
2 Ag 0.500 0.500 0.259
3 Tc 0.000 0.000 0.485
4 Tl 0.500 0.500 0.737

***

12.
## CsMn2CdI8 (GGA-PBE)

Data for a relaxed structure of CsMn2CdI8.

Output
As for the energy relative to the elements, uncorrected: -584 meV per atom. As for the space group: R-3.

Lattice parameters (Å, degrees): 7.459 7.459 11.494 71.07 71.07 60.00
Fractional coordinates of all 12 atoms:
1 Cs 0.500 0.500 0.500
2 Mn 0.254 0.254 0.238
3 Mn 0.746 0.746 0.762
4 Cd 0.000 0.000 0.000
5 I 0.172 0.172 0.483
6 I 0.620 0.278 0.168
7 I 0.828 0.828 0.517
8 I 0.935 0.620 0.168
9 I 0.065 0.380 0.832
10 I 0.278 0.935 0.168
11 I 0.722 0.065 0.832
12 I 0.380 0.722 0.832

***

13.
## TiAl2Pt3 (GGA-PBE)

Data for a relaxed structure of TiAl2Pt3.

Output
The calculation puts the formation energy from the elements at -0.95 eV/atom. As for the space group: P-3m1. The energy above the most stable polymorph in this dataset is 0.04 eV per formula unit.

Lattice parameters (Å, degrees): 4.358 4.358 11.159 90.00 90.00 120.00
Fractional coordinates of all 12 atoms:
1 Ti 0.333 0.667 0.669
2 Ti 0.667 0.333 0.331
3 Al 0.000 0.000 0.500
4 Al 0.333 0.667 0.173
5 Al 0.667 0.333 0.827
6 Al 0.000 0.000 0.000
7 Pt 0.333 0.667 0.431
8 Pt 0.667 0.333 0.077
9 Pt 0.000 0.000 0.775
10 Pt 0.000 0.000 0.225
11 Pt 0.333 0.667 0.923
12 Pt 0.667 0.333 0.569

***

14.
## HfAlPd2 (GGA-PBE)

Data for a relaxed structure of HfAlPd2.

Output
The calculation puts the formation energy from the elements at -0.31 eV/atom. As for the space group: I-42d.

Lattice parameters (Å, degrees): 4.071 4.071 9.281 77.33 77.33 90.00
Fractional coordinates of all 8 atoms:
1 Hf 0.000 0.000 0.000
2 Hf 0.750 0.250 0.500
3 Al 0.500 0.500 0.000
4 Al 0.250 0.750 0.500
5 Pd 0.607 0.125 0.250
6 Pd 0.143 0.625 0.250
7 Pd 0.375 0.393 0.750
8 Pd 0.875 0.857 0.750

***

15.
## Si23Au3 (GGA-PBE)

Data for a relaxed structure of Si23Au3.

Output
As for the energy relative to the elements, uncorrected: 203 meV per atom. As for the space group: Pm-3n.

Lattice parameters (Å, degrees): 10.156 10.156 10.156 90.00 90.00 90.00
Fractional coordinates of all 52 atoms:
1 Au 0.250 0.000 0.500
2 Au 0.750 0.000 0.500
3 Au 0.000 0.500 0.250
4 Au 0.000 0.500 0.750
5 Au 0.500 0.250 0.000
6 Au 0.500 0.750 0.000
7 Si 0.250 0.500 0.000
8 Si 0.750 0.500 0.000
9 Si 0.500 0.000 0.250
10 Si 0.500 0.000 0.750
11 Si 0.000 0.250 0.500
12 Si 0.000 0.750 0.500
13 Si 0.184 0.184 0.184
14 Si 0.184 0.816 0.816
15 Si 0.816 0.184 0.816
16 Si 0.816 0.816 0.184
17 Si 0.316 0.316 0.316
18 Si 0.316 0.684 0.684
19 Si 0.684 0.316 0.684
20 Si 0.684 0.684 0.316
21 Si 0.816 0.816 0.816
22 Si 0.816 0.184 0.184
23 Si 0.184 0.816 0.184
24 Si 0.184 0.184 0.816
25 Si 0.684 0.684 0.684
26 Si 0.684 0.316 0.316
27 Si 0.316 0.684 0.316
28 Si 0.316 0.316 0.684
29 Si 0.000 0.116 0.310
30 Si 0.000 0.884 0.690
31 Si 0.000 0.116 0.690
32 Si 0.000 0.884 0.310
33 Si 0.116 0.310 0.000
34 Si 0.116 0.690 0.000
35 Si 0.884 0.310 0.000
36 Si 0.884 0.690 0.000
37 Si 0.310 0.000 0.116
38 Si 0.310 0.000 0.884
39 Si 0.690 0.000 0.884
40 Si 0.690 0.000 0.116
41 Si 0.384 0.500 0.190
42 Si 0.384 0.500 0.810
43 Si 0.616 0.500 0.810
44 Si 0.616 0.500 0.190
45 Si 0.500 0.190 0.384
46 Si 0.500 0.810 0.616
47 Si 0.500 0.190 0.616
48 Si 0.500 0.810 0.384
49 Si 0.190 0.384 0.500
50 Si 0.190 0.616 0.500
51 Si 0.810 0.384 0.500
52 Si 0.810 0.616 0.500

***

16.
## ScAl3Ni (GGA-PBE)

Data for a relaxed structure of ScAl3Ni.

Output
The calculation puts the formation energy from the elements at -0.55 eV/atom. As for the space group: Pnma. The energy above the most stable polymorph in this dataset is 0.00 eV per formula unit.

Lattice parameters (Å, degrees): 3.910 8.028 10.467 90.00 90.00 90.00
Fractional coordinates of all 20 atoms:
1 Sc 0.750 0.813 0.006
2 Sc 0.250 0.687 0.506
3 Sc 0.750 0.313 0.494
4 Sc 0.250 0.187 0.994
5 Al 0.250 0.557 0.084
6 Al 0.750 0.443 0.916
7 Al 0.250 0.057 0.416
8 Al 0.750 0.943 0.584
9 Al 0.250 0.396 0.706
10 Al 0.750 0.104 0.206
11 Al 0.250 0.896 0.794
12 Al 0.750 0.648 0.717
13 Al 0.250 0.352 0.283
14 Al 0.750 0.148 0.783
15 Al 0.750 0.604 0.294
16 Al 0.250 0.852 0.217
17 Ni 0.250 0.114 0.641
18 Ni 0.250 0.614 0.859
19 Ni 0.750 0.386 0.141
20 Ni 0.750 0.886 0.359

***

17.
## Dy3Y3ErSe8 (GGA-PBE)

Data for a relaxed structure of Dy3Y3ErSe8.

Output
As for the energy relative to the elements, uncorrected: -1837 meV per atom. As for the space group: R-3m.

Lattice parameters (Å, degrees): 8.129 8.130 8.129 120.01 90.00 120.00
Fractional coordinates of all 15 atoms:
1 Dy 0.500 0.000 0.500
2 Dy 0.500 0.500 0.500
3 Dy 0.000 0.500 0.500
4 Y 0.000 0.000 0.000
5 Y 0.000 0.500 0.000
6 Y 0.500 0.500 0.000
7 Er 0.000 0.000 0.500
8 Se 0.250 0.500 0.251
9 Se 0.750 0.500 0.749
10 Se 0.748 0.497 0.249
11 Se 0.252 0.503 0.751
12 Se 0.749 0.001 0.249
13 Se 0.251 0.999 0.751
14 Se 0.252 0.001 0.249
15 Se 0.748 0.999 0.751

***

18.
## Li3LaSn (GGA-PBE)

Data for a relaxed structure of Li3LaSn.

Output
The calculation puts the formation energy from the elements at -0.31 eV/atom. As for the space group: P2_1/c.

Lattice parameters (Å, degrees): 7.699 7.736 10.919 135.25 90.00 90.00
Fractional coordinates of all 20 atoms:
1 Li 0.118 0.215 0.334
2 Li 0.882 0.785 0.666
3 Li 0.618 0.785 0.166
4 Li 0.382 0.215 0.834
5 Li 0.626 0.872 0.499
6 Li 0.374 0.128 0.501
7 Li 0.126 0.128 0.001
8 Li 0.874 0.872 0.999
9 Li 0.117 0.547 0.666
10 Li 0.883 0.453 0.334
11 Li 0.617 0.453 0.834
12 Li 0.383 0.547 0.166
13 La 0.001 0.750 0.250
14 La 0.999 0.250 0.750
15 La 0.501 0.250 0.250
16 La 0.499 0.750 0.750
17 Sn 0.232 0.732 0.500
18 Sn 0.768 0.268 0.500
19 Sn 0.732 0.268 0.000
20 Sn 0.268 0.732 0.000

***

19.
## PaTcSb (GGA-PBE)

Data for a relaxed structure of PaTcSb.

Output
As for the energy relative to the elements, uncorrected: -288 meV per atom. As for the space group: P-6m2. The energy above the most stable polymorph in this dataset is 0.46 eV per formula unit.

Lattice parameters (Å, degrees): 3.453 4.652 4.652 120.00 90.00 90.00
Fractional coordinates of all 3 atoms:
1 Sb 0.167 0.000 0.000
2 Pa 0.667 0.667 0.333
3 Tc 0.167 0.333 0.667